1.
A plane-wave DFT calculation with meta-GGA SCAN was carried out for BaThN2 at its PBEsol-relaxed geometry.

abc: 3.735 3.735 12.745
angles: 90.00 90.00 120.00
Atoms (fractional coordinates):
Ba 0.333 0.667 0.250
Ba 0.667 0.333 0.750
Th 0.000 0.000 0.000
Th 0.000 0.000 0.500
N 0.333 0.667 0.598
N 0.333 0.667 0.902
N 0.667 0.333 0.098
N 0.667 0.333 0.402

Values from the calculation:
For the size of the total moment, the calculation gives 0.00 μB per atom. Its symmetry is P6_3/mmc, No. 194. For the formation energy (no corrections), the calculation gives -1393 meV/atom.



2.
A plane-wave DFT calculation with meta-GGA SCAN was carried out for TaNiRh at its PBEsol-relaxed geometry.

abc: 4.218 4.218 2.705
angles: 90.00 90.00 120.00
Atoms (fractional coordinates):
Ta 0.000 0.000 0.000
Ni 0.667 0.333 0.765
Rh 0.333 0.667 0.368

Values from the calculation:
For the size of the total moment, the calculation gives 0.00 μB per atom. Its formation energy is -281 meV/atom. Its symmetry is P3m1, No. 156.



3.
A plane-wave DFT calculation with meta-GGA SCAN was carried out for Zr2AlOs at its PBEsol-relaxed geometry.

abc: 4.597 4.597 4.597
angles: 60.00 60.00 60.00
Atoms (fractional coordinates):
Zr 0.000 0.000 0.000
Zr 0.250 0.250 0.250
Al 0.500 0.500 0.500
Os 0.750 0.750 0.750

Values from the calculation:
For the size of the total moment, the calculation gives 0.25 μB per atom. Its formation energy is -369 meV/atom. Its symmetry is F-43m, No. 216.



4.
A plane-wave DFT calculation with meta-GGA SCAN was carried out for LiMnPt2 at its PBEsol-relaxed geometry.

abc: 4.506 4.506 4.798
angles: 99.66 99.66 35.68
Atoms (fractional coordinates):
Li 0.000 0.000 0.000
Mn 0.500 0.500 0.500
Pt 0.247 0.247 0.753
Pt 0.753 0.753 0.247

Values from the calculation:
For the size of the total moment, the calculation gives 1.14 μB per atom. Its formation energy is -576 meV/atom. Its symmetry is C2/m, No. 12.



5.
A plane-wave DFT calculation with meta-GGA SCAN was carried out for ZnCdIn2 at its PBEsol-relaxed geometry.

abc: 6.218 6.218 6.218
angles: 151.43 129.90 58.69
Atoms (fractional coordinates):
Zn 0.000 0.000 0.000
Cd 0.217 0.717 0.500
In 0.490 0.490 0.000
In 0.773 0.273 0.500

Values from the calculation:
For the size of the total moment, the calculation gives 0.00 μB per atom. Its formation energy is 138 meV/atom. Its symmetry is Imm2, No. 44.



6.
A plane-wave DFT calculation with meta-GGA SCAN was carried out for SrSeBr2 at its PBEsol-relaxed geometry.

abc: 6.825 6.825 4.804
angles: 92.57 92.57 35.42
Atoms (fractional coordinates):
Sr 0.000 0.000 0.000
Se 0.500 0.500 0.500
Br 0.335 0.335 0.790
Br 0.665 0.665 0.210

Values from the calculation:
For the size of the total moment, the calculation gives 0.00 μB per atom. Its symmetry is C2/m, No. 12. For the formation energy (no corrections), the calculation gives -1479 meV/atom.



- What is the formula in the first record?
  BaThN2